# SiRhBr2 PBE-GGA relaxed
# * E_form (uncorrected): 664 meV per atom
# * energy above the lowest structure with this stoichiometry: 0.8534 eV/atom
# * space group: P4/mmm (123)
data_SiRhBr2
_cell_length_a 3.3934
_cell_length_b 3.3935
_cell_length_c 6.8931
_cell_angle_alpha 90.00
_cell_angle_beta 90.00
_cell_angle_gamma 90.00
_symmetry_space_group_name_H-M 'P 1'
_symmetry_Int_Tables_number 1
loop_
_symmetry_equiv_pos_as_xyz
'x,y,z'
loop_
_atom_site_label
_atom_site_type_symbol
_atom_site_fract_x
_atom_site_fract_y
_atom_site_fract_z
Br1 Br 0.0000 0.0000 0.4876
Rh1 Rh 0.5000 0.5000 0.2500
Br2 Br 0.0000 0.0000 0.0124
Si1 Si 0.5000 0.5000 0.7500

# Sc3AuN PBE-GGA relaxed
# * E_form (uncorrected): -80 meV per atom
# * space group: P6_3/mmc (194)
data_Sc3AuN
_cell_length_a 4.1059
_cell_length_b 4.1059
_cell_length_c 15.1515
_cell_angle_alpha 90.00
_cell_angle_beta 90.00
_cell_angle_gamma 120.00
_symmetry_space_group_name_H-M 'P 1'
_symmetry_Int_Tables_number 1
loop_
_symmetry_equiv_pos_as_xyz
'x,y,z'
loop_
_atom_site_label
_atom_site_type_symbol
_atom_site_fract_x
_atom_site_fract_y
_atom_site_fract_z
Sc1 Sc 0.6667 0.3333 0.0653
Au1 Au 0.6667 0.3333 0.2500
Sc2 Sc 0.3333 0.6667 0.5653
N1 N 0.0000 0.0000 0.5000
Sc3 Sc 0.0000 0.0000 0.7500
Sc4 Sc 0.0000 0.0000 0.2500
Sc5 Sc 0.6667 0.3333 0.4347
Sc6 Sc 0.3333 0.6667 0.9347
Au2 Au 0.3333 0.6667 0.7500
N2 N 0.0000 0.0000 0.0000

# YCuPb2 PBE-GGA relaxed
# * energy above the lowest structure with this stoichiometry: 0.2508 eV/atom
# * formation energy from the elements: 0.078 eV per atom
# * space group: I-42d (122)
data_YCuPb2
_cell_length_a 4.7272
_cell_length_b 4.7272
_cell_length_c 10.5293
_cell_angle_alpha 77.03
_cell_angle_beta 77.03
_cell_angle_gamma 90.00
_symmetry_space_group_name_H-M 'P 1'
_symmetry_Int_Tables_number 1
loop_
_symmetry_equiv_pos_as_xyz
'x,y,z'
loop_
_atom_site_label
_atom_site_type_symbol
_atom_site_fract_x
_atom_site_fract_y
_atom_site_fract_z
Cu1 Cu 0.2500 0.7500 0.5000
Y1 Y 0.7500 0.2500 0.5000
Cu2 Cu 0.5000 0.5000 0.0000
Pb1 Pb 0.1628 0.6250 0.2500
Pb2 Pb 0.5872 0.1250 0.2500
Pb3 Pb 0.8750 0.8372 0.7500
Y2 Y 0.0000 0.0000 0.0000
Pb4 Pb 0.3750 0.4128 0.7500

# CeCd3Au4 PBE-GGA relaxed
# * formation energy from the elements: -0.358 eV per atom
# * space group: R-3m (166)
data_CeCd3Au4
_cell_length_a 4.8525
_cell_length_b 4.8525
_cell_length_c 8.8126
_cell_angle_alpha 74.02
_cell_angle_beta 74.02
_cell_angle_gamma 60.00
_symmetry_space_group_name_H-M 'P 1'
_symmetry_Int_Tables_number 1
loop_
_symmetry_equiv_pos_as_xyz
'x,y,z'
loop_
_atom_site_label
_atom_site_type_symbol
_atom_site_fract_x
_atom_site_fract_y
_atom_site_fract_z
Au1 Au 0.8738 0.8738 0.3785
Cd1 Cd 0.2483 0.2483 0.2550
Au2 Au 0.3854 0.3854 0.8437
Ce1 Ce 0.0000 0.0000 0.0000
Au3 Au 0.1262 0.1262 0.6215
Au4 Au 0.6146 0.6146 0.1563
Cd2 Cd 0.7517 0.7517 0.7450
Cd3 Cd 0.5000 0.5000 0.5000

# Ga2H2Ir PBE-GGA relaxed
# * energy above the lowest structure with this stoichiometry: 0.0739 eV/atom
# * space group: I4/mmm (139)
data_Ga2H2Ir
_cell_length_a 2.9266
_cell_length_b 2.9266
_cell_length_c 6.5960
_cell_angle_alpha 77.18
_cell_angle_beta 77.18
_cell_angle_gamma 90.00
_symmetry_space_group_name_H-M 'P 1'
_symmetry_Int_Tables_number 1
loop_
_symmetry_equiv_pos_as_xyz
'x,y,z'
loop_
_atom_site_label
_atom_site_type_symbol
_atom_site_fract_x
_atom_site_fract_y
_atom_site_fract_z
Ga1 Ga 0.3686 0.3686 0.2627
H1 H 0.7500 0.2500 0.5000
Ir1 Ir 0.0000 0.0000 0.0000
H2 H 0.2500 0.7500 0.5000
Ga2 Ga 0.6314 0.6314 0.7373

# Sm4BiN2 PBE-GGA relaxed
# * E_form (uncorrected): -1023 meV per atom
# * space group: Cmcm (63)
data_Sm4BiN2
_cell_length_a 3.8949
_cell_length_b 6.5283
_cell_length_c 12.9556
_cell_angle_alpha 90.00
_cell_angle_beta 90.00
_cell_angle_gamma 107.36
_symmetry_space_group_name_H-M 'P 1'
_symmetry_Int_Tables_number 1
loop_
_symmetry_equiv_pos_as_xyz
'x,y,z'
loop_
_atom_site_label
_atom_site_type_symbol
_atom_site_fract_x
_atom_site_fract_y
_atom_site_fract_z
Sm1 Sm 0.5000 0.0000 0.5000
N1 N 0.1389 0.2777 0.0596
Bi1 Bi 0.3916 0.7832 0.2500
Sm2 Sm 0.2412 0.4825 0.8991
Sm3 Sm 0.0863 0.1725 0.2500
Sm4 Sm 0.2412 0.4825 0.6009
N2 N 0.8611 0.7223 0.5596
N3 N 0.1389 0.2777 0.4404
Sm5 Sm 0.7588 0.5175 0.1009
Sm6 Sm 0.7588 0.5175 0.3991
Sm7 Sm 0.5000 0.0000 0.0000
Sm8 Sm 0.9137 0.8275 0.7500
Bi2 Bi 0.6084 0.2168 0.7500
N4 N 0.8611 0.7223 0.9404

# Nb2VHPt PBE-GGA relaxed
# * energy above the lowest structure with this stoichiometry: 0.1135 eV/atom
# * space group: P4/mmm (123)
data_Nb2VHPt
_cell_length_a 4.2670
_cell_length_b 4.2670
_cell_length_c 3.7572
_cell_angle_alpha 90.00
_cell_angle_beta 90.00
_cell_angle_gamma 90.00
_symmetry_space_group_name_H-M 'P 1'
_symmetry_Int_Tables_number 1
loop_
_symmetry_equiv_pos_as_xyz
'x,y,z'
loop_
_atom_site_label
_atom_site_type_symbol
_atom_site_fract_x
_atom_site_fract_y
_atom_site_fract_z
Nb1 Nb 0.5000 0.0000 0.0000
V1 V 0.5000 0.5000 0.5000
Nb2 Nb 0.0000 0.5000 0.0000
Pt1 Pt 0.0000 0.0000 0.5000
H1 H 0.0000 0.0000 0.0000

# Ca2ScRe PBE-GGA relaxed
# * energy above the lowest structure with this stoichiometry: 0.1636 eV/atom
# * formation energy from the elements: 0.435 eV per atom
# * space group: Imm2 (44)
data_Ca2ScRe
_cell_length_a 6.5173
_cell_length_b 6.5173
_cell_length_c 6.5173
_cell_angle_alpha 150.25
_cell_angle_beta 128.22
_cell_angle_gamma 60.87
_symmetry_space_group_name_H-M 'P 1'
_symmetry_Int_Tables_number 1
loop_
_symmetry_equiv_pos_as_xyz
'x,y,z'
loop_
_atom_site_label
_atom_site_type_symbol
_atom_site_fract_x
_atom_site_fract_y
_atom_site_fract_z
Re1 Re 0.5159 0.5159 0.0000
Ca1 Ca 0.9960 0.9960 0.0000
Ca2 Ca 0.2985 0.7985 0.5000
Sc1 Sc 0.6895 0.1895 0.5000